[1]
Compound: Cs3Np3PbS8
Source: the Alexandria database
Functional: PBE
Structure: optimized geometry

Calculated values
space-group type = R-3m (166)
VASP energy = -6.4542 eV/atom
uncorrected formation energy = -1247 meV per atom

a b c (Å): 9.362 9.362 9.362
angles (deg): 52.49 52.49 52.49
Fractional coordinates of all 15 atoms:
Cs 0.000 0.500 0.500
Cs 0.500 0.000 0.500
Cs 0.500 0.500 0.000
Np 0.000 0.000 0.500
Np 0.000 0.500 0.000
Np 0.500 0.000 0.000
Pb 0.500 0.500 0.500
S 0.200 0.740 0.740
S 0.226 0.226 0.226
S 0.260 0.260 0.800
S 0.260 0.800 0.260
S 0.740 0.200 0.740
S 0.740 0.740 0.200
S 0.774 0.774 0.774
S 0.800 0.260 0.260

[2]
Compound: Zr2CdTe
Source: the Alexandria database
Functional: PBE
Structure: optimized geometry

Calculated values
space-group type = Pm (6)
VASP energy = -5.5631 eV/atom
uncorrected formation energy = -275 meV per atom
energy above the most stable polymorph in this dataset = 0.042 eV/atom

a b c (Å): 3.534 4.780 5.713
angles (deg): 90.00 107.87 90.00
Fractional coordinates of all 4 atoms:
Zr 0.000 0.000 0.000
Zr 0.280 0.500 0.564
Cd 0.543 0.500 0.085
Te 0.728 0.000 0.461

[3]
Compound: Pr5YTl2
Source: the Alexandria database
Functional: PBE
Structure: optimized geometry

Calculated values
space-group type = Immm (71)
VASP energy = -4.5068 eV/atom
ΔE_f = -0.120 eV per atom
energy above the most stable polymorph in this dataset = 0.000 eV/atom

a b c (Å): 8.621 8.621 8.621
angles (deg): 155.02 98.95 86.45
Fractional coordinates of all 8 atoms:
Pr 0.000 0.000 0.000
Pr 0.081 0.361 0.720
Pr 0.359 0.639 0.720
Pr 0.641 0.361 0.280
Pr 0.919 0.639 0.280
Y 0.500 0.000 0.500
Tl 0.279 0.279 0.000
Tl 0.721 0.721 0.000

[4]
Compound: Ga2SiSn
Source: the Alexandria database
Functional: PBE
Structure: optimized geometry

Calculated values
space-group type = I-42d (122)
VASP energy = -3.6630 eV/atom
uncorrected formation energy = 207 meV per atom
energy above the most stable polymorph in this dataset = 0.000 eV/atom

a b c (Å): 7.162 7.162 7.162
angles (deg): 130.35 130.35 72.85
Fractional coordinates of all 8 atoms:
Ga 0.081 0.625 0.956
Ga 0.375 0.331 0.456
Ga 0.669 0.125 0.044
Ga 0.875 0.919 0.544
Si 0.000 0.000 0.000
Si 0.750 0.250 0.500
Sn 0.250 0.750 0.500
Sn 0.500 0.500 0.000

[5]
Compound: LiYHf
Source: the Alexandria database
Functional: PBE
Structure: optimized geometry

Calculated values
space-group type = P4/nmm (129)
VASP energy = -6.0116 eV/atom
ΔE_f = 0.099 eV per atom
energy above the most stable polymorph in this dataset = 0.000 eV/atom

a b c (Å): 3.262 3.262 14.137
angles (deg): 90.00 90.00 90.00
Fractional coordinates of all 6 atoms:
Li 0.250 0.250 0.070
Li 0.750 0.750 0.930
Y 0.250 0.250 0.747
Y 0.750 0.750 0.253
Hf 0.250 0.250 0.425
Hf 0.750 0.750 0.575

[6]
Compound: ZnO3
Source: the Alexandria database
Functional: PBE
Structure: optimized geometry

Calculated values
space-group type = Pnma (62)
VASP energy = -4.4147 eV/atom
uncorrected formation energy = -378 meV per atom

a b c (Å): 6.209 4.903 5.537
angles (deg): 90.00 90.00 90.00
Fractional coordinates of all 16 atoms:
Zn 0.144 0.250 0.136
Zn 0.356 0.750 0.636
Zn 0.644 0.250 0.364
Zn 0.856 0.750 0.864
O 0.087 0.250 0.639
O 0.130 0.015 0.793
O 0.130 0.485 0.793
O 0.370 0.515 0.293
O 0.370 0.985 0.293
O 0.413 0.750 0.139
O 0.587 0.250 0.861
O 0.630 0.015 0.707
O 0.630 0.485 0.707
O 0.870 0.515 0.207
O 0.870 0.985 0.207
O 0.913 0.750 0.361

[7]
Compound: CrMoAu3
Source: the Alexandria database
Functional: PBE
Structure: optimized geometry

Calculated values
space-group type = Pm-3m (221)
VASP energy = -4.5989 eV/atom
ΔE_f = 1.458 eV per atom
energy above the most stable polymorph in this dataset = 0.000 eV/atom

a b c (Å): 4.788 4.788 4.788
angles (deg): 90.00 90.00 90.00
Fractional coordinates of all 5 atoms:
Cr 0.000 0.000 0.000
Mo 0.500 0.500 0.500
Au 0.000 0.000 0.500
Au 0.000 0.500 0.000
Au 0.500 0.000 0.000

[8]
Compound: TlFeSi
Source: the Alexandria database
Functional: PBE
Structure: optimized geometry

Calculated values
space-group type = F-43m (216)
VASP energy = -4.8905 eV/atom
uncorrected formation energy = 527 meV per atom
energy above the most stable polymorph in this dataset = 0.204 eV/atom

a b c (Å): 4.252 4.252 4.252
angles (deg): 60.00 60.00 60.00
Fractional coordinates of all 3 atoms:
Tl 0.000 0.000 0.000
Fe 0.750 0.750 0.750
Si 0.500 0.500 0.500